First-principles (PBE) data for a relaxed Pr2GdCo2B2N3 crystal, as listed in the Open Quantum Materials Database.

Values from the calculation:
* crystal system: tetragonal
* calculated density: 7.89 g/cm³
* uncorrected energy: -77.23 eV per cell

a b c (Å): 10.240 10.240 10.240
angles (deg): 159.59 159.59 29.02
Fractional positions:
B 0.197 0.197 0.000
B 0.803 0.803 0.000
Gd 0.000 0.000 0.000
Pr 0.372 0.372 0.000
Pr 0.628 0.628 0.000
Co 0.750 0.250 0.500
Co 0.250 0.750 0.500
N 0.878 0.878 0.000
N 0.122 0.122 0.000
N 0.500 0.500 0.000

---

First-principles (PBE) data for a relaxed SmGd2Co2B2N3 crystal, as listed in the Open Quantum Materials Database.

Values from the calculation:
* crystal system: tetragonal
* calculated density: 8.61 g/cm³
* uncorrected energy: -78.06 eV per cell

a b c (Å): 10.322 10.322 10.322
angles (deg): 160.32 160.32 27.98
Fractional positions:
N 0.121 0.121 0.000
N 0.879 0.879 0.000
N 0.500 0.500 0.000
Gd 0.374 0.374 0.000
Gd 0.626 0.626 0.000
B 0.196 0.196 0.000
B 0.804 0.804 0.000
Co 0.750 0.250 0.500
Co 0.250 0.750 0.500
Sm 0.000 0.000 0.000

---

First-principles (PBE) data for a relaxed SmGdCo2B2N2 crystal, as listed in the Open Quantum Materials Database.

Values from the calculation:
* crystal system: tetragonal
* calculated density: 8.43 g/cm³
* uncorrected energy: -61.85 eV per cell

a b c (Å): 3.542 3.542 7.456
angles (deg): 90.00 90.00 90.00
Fractional positions:
Gd 0.000 0.000 0.171
N 0.000 0.000 0.849
N 0.500 0.500 0.153
Co 0.500 0.000 0.499
Co 0.000 0.500 0.499
B 0.000 0.000 0.646
B 0.500 0.500 0.355
Sm 0.500 0.500 0.828

---

First-principles (PBE) data for a relaxed GdTm2Co2B2N3 crystal, as listed in the Open Quantum Materials Database.

Values from the calculation:
* crystal system: tetragonal
* calculated density: 9.50 g/cm³
* uncorrected energy: -78.43 eV per cell

a b c (Å): 10.239 10.239 10.239
angles (deg): 160.61 160.61 27.55
Fractional positions:
B 0.806 0.806 0.000
B 0.194 0.194 0.000
Tm 0.624 0.624 0.000
Tm 0.376 0.376 0.000
N 0.500 0.500 0.000
N 0.882 0.882 0.000
N 0.118 0.118 0.000
Co 0.750 0.250 0.500
Co 0.250 0.750 0.500
Gd 0.000 0.000 0.000

---

First-principles (PBE) data for a relaxed Gd2YCo2B2N3 crystal, as listed in the Open Quantum Materials Database.

Values from the calculation:
* crystal system: tetragonal
* calculated density: 7.98 g/cm³
* uncorrected energy: -80.22 eV per cell

a b c (Å): 10.260 10.260 10.260
angles (deg): 160.38 160.38 27.88
Fractional positions:
N 0.118 0.118 0.000
N 0.500 0.500 0.000
N 0.882 0.882 0.000
B 0.806 0.806 0.000
B 0.194 0.194 0.000
Y 0.000 0.000 0.000
Co 0.750 0.250 0.500
Co 0.250 0.750 0.500
Gd 0.624 0.624 0.000
Gd 0.376 0.376 0.000

---

What did the fourth record say?
First-principles (PBE) data for a relaxed GdTm2Co2B2N3 crystal, as listed in the Open Quantum Materials Database.

Values from the calculation:
* crystal system: tetragonal
* calculated density: 9.50 g/cm³
* uncorrected energy: -78.43 eV per cell

a b c (Å): 10.239 10.239 10.239
angles (deg): 160.61 160.61 27.55
Fractional positions:
B 0.806 0.806 0.000
B 0.194 0.194 0.000
Tm 0.624 0.624 0.000
Tm 0.376 0.376 0.000
N 0.500 0.500 0.000
N 0.882 0.882 0.000
N 0.118 0.118 0.000
Co 0.750 0.250 0.500
Co 0.250 0.750 0.500
Gd 0.000 0.000 0.000